# 1
La5Ga2CoCl: relaxed, GGA-PBE.

a = 9.2858 Å, b = 9.2858 Å, c = 11.7263 Å
α = 90.00°, β = 90.00°, γ = 150.14°
Atoms (fractional coordinates):
La 0.0002 0.9998 0.0000
La 0.9998 0.0002 0.5000
La 0.1267 0.8733 0.7497
La 0.1918 0.8082 0.0939
La 0.1915 0.8085 0.4054
La 0.4598 0.5402 0.7501
La 0.5402 0.4598 0.2501
La 0.8082 0.1918 0.5939
La 0.8085 0.1915 0.9054
La 0.8733 0.1267 0.2497
Ga 0.3790 0.6210 0.0632
Ga 0.3787 0.6213 0.4362
Ga 0.6210 0.3790 0.5632
Ga 0.6213 0.3787 0.9362
Co 0.0584 0.9416 0.2494
Co 0.9416 0.0584 0.7494
Cl 0.2887 0.7113 0.7497
Cl 0.7113 0.2887 0.2497

The value obtained for the volume is 503.4 Å³/cell. The value obtained for the uncorrected formation energy is -652 meV per atom. The calculation puts the theoretical density at 6.1 Mg/m³.

=====

# 2
Zn12Ga16Ag: relaxed, GGA-PBE.

a = 8.6526 Å, b = 8.6526 Å, c = 8.6372 Å
α = 109.37°, β = 109.37°, γ = 109.20°
Atoms (fractional coordinates):
Zn 0.0000 0.0000 0.0000
Zn 0.0010 0.1922 0.5819
Zn 0.0045 0.6164 0.3913
Zn 0.1822 0.1822 0.3845
Zn 0.1922 0.0010 0.5819
Zn 0.4309 0.8127 0.0117
Zn 0.4319 0.6242 0.2027
Zn 0.6164 0.0045 0.3913
Zn 0.6242 0.4319 0.2027
Zn 0.6240 0.8124 0.8180
Zn 0.8124 0.6240 0.8180
Zn 0.8127 0.4309 0.0117
Ga 0.0891 0.5050 0.8923
Ga 0.1210 0.3916 0.1992
Ga 0.1218 0.8069 0.7815
Ga 0.1328 0.8122 0.1991
Ga 0.2292 0.2292 0.9222
Ga 0.2338 0.5292 0.6142
Ga 0.3916 0.1210 0.1992
Ga 0.3960 0.8090 0.5058
Ga 0.4940 0.4940 0.8849
Ga 0.5050 0.0891 0.8923
Ga 0.5292 0.2338 0.6142
Ga 0.8043 0.8043 0.5344
Ga 0.8069 0.1218 0.7815
Ga 0.8090 0.3960 0.5058
Ga 0.8122 0.1328 0.1991
Ga 0.8122 0.8122 0.2141
Ag 0.4970 0.4970 0.4713

The formation energy is 22 meV per atom. The value obtained for the volume is 500.6 Å³/cell. The calculation puts the theoretical density at 6.7 Mg/m³.

=====

# 3
LiCu: relaxed, GGA-PBE.

a = 3.0165 Å, b = 3.0165 Å, c = 5.9787 Å
α = 90.00°, β = 90.00°, γ = 90.00°
Atoms (fractional coordinates):
Li 0.2500 0.2500 0.1503
Li 0.7500 0.7500 0.8497
Cu 0.2500 0.2500 0.6090
Cu 0.7500 0.7500 0.3910

The formation energy is 5 meV per atom. The value obtained for the volume is 54.4 Å³/cell. The calculation puts the theoretical density at 4.3 Mg/m³.

=====

# 4
TiTlAu: relaxed, GGA-PBE.

a = 3.2484 Å, b = 3.2484 Å, c = 12.3253 Å
α = 90.00°, β = 90.30°, γ = 90.00°
Atoms (fractional coordinates):
Ti 0.2483 0.2500 0.4318
Ti 0.7517 0.7500 0.5682
Tl 0.2457 0.2500 0.1184
Tl 0.7543 0.7500 0.8816
Au 0.2538 0.2500 0.6915
Au 0.7462 0.7500 0.3085

The formation energy is -185 meV per atom. The value obtained for the volume is 130.1 Å³/cell. The calculation puts the theoretical density at 11.5 Mg/m³.

=====

# 5
CaEr3Te6: relaxed, GGA-PBE.

a = 12.9564 Å, b = 4.3273 Å, c = 13.0394 Å
α = 90.00°, β = 113.38°, γ = 90.00°
Atoms (fractional coordinates):
Ca 0.2139 0.2500 0.0517
Ca 0.7861 0.7500 0.9483
Er 0.0215 0.7500 0.2811
Er 0.3390 0.2500 0.4336
Er 0.4067 0.7500 0.8351
Er 0.5933 0.2500 0.1649
Er 0.6610 0.7500 0.5664
Er 0.9785 0.2500 0.7189
Te 0.0376 0.7500 0.9026
Te 0.1139 0.2500 0.4527
Te 0.2312 0.2500 0.7789
Te 0.2478 0.7500 0.2556
Te 0.4120 0.7500 0.0736
Te 0.4422 0.7500 0.6119
Te 0.5578 0.2500 0.3881
Te 0.5880 0.2500 0.9264
Te 0.7522 0.2500 0.7444
Te 0.7688 0.7500 0.2211
Te 0.8861 0.7500 0.5473
Te 0.9624 0.2500 0.0974

The value obtained for the volume is 671.0 Å³/cell. The value obtained for the uncorrected formation energy is -1291 meV per atom. The calculation puts the theoretical density at 6.5 Mg/m³.

=====

# 6
Pm3Nd2Pb4: relaxed, GGA-PBE.

a = 9.5269 Å, b = 9.5269 Å, c = 9.2462 Å
α = 90.00°, β = 90.00°, γ = 135.03°
Atoms (fractional coordinates):
Pm 0.0000 0.0000 0.0000
Pm 0.0448 0.4552 0.2500
Pm 0.4552 0.0448 0.7500
Pm 0.5000 0.5000 0.5000
Pm 0.5448 0.9552 0.2500
Pm 0.9552 0.5448 0.7500
Nd 0.1111 0.8889 0.4089
Nd 0.3889 0.6111 0.9089
Nd 0.6111 0.3889 0.0911
Nd 0.8889 0.1111 0.5911
Pb 0.1851 0.8149 0.0568
Pb 0.2220 0.2780 0.2500
Pb 0.2780 0.2220 0.7500
Pb 0.3149 0.6851 0.5568
Pb 0.6851 0.3149 0.4432
Pb 0.7220 0.7780 0.2500
Pb 0.7780 0.7220 0.7500
Pb 0.8149 0.1851 0.9432

The formation energy is -433 meV per atom. The value obtained for the volume is 593.1 Å³/cell. The calculation puts the theoretical density at 8.7 Mg/m³.

=====

# 7
Rb2LiNbCo: relaxed, GGA-PBE.

a = 6.0029 Å, b = 6.0029 Å, c = 5.3850 Å
α = 90.00°, β = 90.00°, γ = 90.00°
Atoms (fractional coordinates):
Rb 0.0000 0.5000 0.0000
Rb 0.5000 0.0000 0.0000
Li 0.0000 0.0000 0.0000
Nb 0.0000 0.0000 0.5000
Co 0.5000 0.5000 0.5000

The formation energy is 1715 meV per atom. The value obtained for the volume is 194.0 Å³/cell. The calculation puts the theoretical density at 2.8 Mg/m³.

=====

# 8
Hg2C: relaxed, GGA-PBE.

a = 6.0498 Å, b = 6.0498 Å, c = 5.5106 Å
α = 90.00°, β = 90.00°, γ = 120.00°
Atoms (fractional coordinates):
Hg 0.0000 0.3226 0.2549
Hg 0.0000 0.6774 0.7451
Hg 0.3226 0.0000 0.2549
Hg 0.3226 0.3226 0.7451
Hg 0.6774 0.0000 0.7451
Hg 0.6774 0.6774 0.2549
C 0.0000 0.0000 0.0000
C 0.3333 0.6667 0.5000
C 0.6667 0.3333 0.5000

The formation energy is 1474 meV per atom. The value obtained for the volume is 174.7 Å³/cell. The calculation puts the theoretical density at 11.8 Mg/m³.

=====

Sequential energy output: -91.021 -65.935 -11.999 -28.185 -94.903 -85.041 -12.448 -16.221 eV per cell